Crystalline ZrPtAu at its relaxed geometry. Source: Alexandria via LeMat-Bulk, functional PBEsol.

```
ZrPtAu
1.0
-2.427 -2.087 -3.107
1.647 -3.587 -2.079
-1.698 -4.039 0.838
Zr Pt Au
1 1 1
Cartesian
-0.620 -2.428 -1.087 Zr
-1.239 -4.857 -2.174 Pt
0.000 0.000 0.000 Au
```

Summary:
spin magnetization	0.00	μB/f.u.
crystal system	cubic
total energy	-7.021	eV/atom